Record 1
RbPbAu2: relaxed, PBE-GGA.

Total moment: 0.0 μB/cell
Calculated formation energy: -0.208 eV/atom
DFT total energy: -3.0158 eV/atom

Unit cell a=4.971 b=8.033 c=7.147 alpha=90.00 beta=110.37 gamma=90.00
Fractional positions:
Pb1 0.344 0.250 0.688
Rb1 0.938 0.750 0.876
Rb2 0.062 0.250 0.124
Au1 0.761 0.077 0.522
Pb2 0.656 0.750 0.312
Au2 0.761 0.423 0.522
Au3 0.239 0.577 0.478
Au4 0.239 0.923 0.478


Record 2
ScTaTe2: relaxed, PBE-GGA.

Total moment: 0.0 μB/cell
E_form (uncorrected): -0.250 eV/atom
DFT total energy: -6.3667 eV/atom

Unit cell a=4.592 b=4.592 c=6.265 alpha=77.12 beta=77.12 gamma=46.49
Fractional positions:
Te1 0.994 0.994 0.020
Te2 0.506 0.506 0.480
Ta1 0.250 0.250 0.250
Sc1 0.750 0.750 0.750


Record 3
NaWSe3: relaxed, PBE-GGA.

Total moment: 0.0 μB/cell
E_form (uncorrected): -0.370 eV/atom
DFT total energy: -5.3157 eV/atom

Unit cell a=4.804 b=7.362 c=10.106 alpha=112.26 beta=90.00 gamma=109.04
Fractional positions:
Na1 0.607 0.214 0.387
Se1 0.015 0.029 0.188
W1 0.157 0.314 0.832
Se2 0.289 0.579 0.096
Na2 0.393 0.786 0.613
Se3 0.824 0.649 0.391
Se4 0.711 0.421 0.904
W2 0.843 0.686 0.168
Se5 0.176 0.351 0.609
Se6 0.985 0.971 0.812


Record 4
Ac2Sm3Er3: relaxed, PBE-GGA.

Total moment: 0.0 μB/cell
Calculated formation energy: 0.157 eV/atom
DFT total energy: -4.3509 eV/atom

Unit cell a=3.785 b=8.983 c=17.481 alpha=90.00 beta=90.00 gamma=102.16
Fractional positions:
Ac1 0.252 0.503 0.107
Sm1 0.408 0.816 0.541
Er1 0.956 0.912 0.118
Sm2 0.408 0.816 0.959
Sm3 0.615 0.229 0.750
Er2 0.956 0.912 0.382
Sm4 0.592 0.184 0.041
Er3 0.044 0.088 0.618
Ac2 0.252 0.503 0.393
Ac3 0.748 0.497 0.893
Er4 0.413 0.825 0.750
Sm5 0.385 0.771 0.250
Er5 0.587 0.175 0.250
Sm6 0.592 0.184 0.459
Er6 0.044 0.088 0.882
Ac4 0.748 0.497 0.607


Record 5
Ba4Ag2Pd: relaxed, PBE-GGA.

Total moment: 0.0 μB/cell
Calculated formation energy: -0.313 eV/atom
DFT total energy: -2.9683 eV/atom

Unit cell a=4.835 b=7.086 c=8.938 alpha=101.59 beta=105.69 gamma=90.00
Fractional positions:
Ba1 0.845 0.183 0.691
Ba2 0.582 0.271 0.164
Ag1 0.763 0.621 0.526
Ba3 0.155 0.817 0.309
Ba4 0.418 0.729 0.836
Ag2 0.237 0.379 0.474
Pd1 0.000 0.000 0.000


Record 6
B5C7: relaxed, PBE-GGA.

Total moment: 0.0 μB/cell
Calculated formation energy: 0.422 eV/atom
DFT total energy: -7.7410 eV/atom

Unit cell a=2.567 b=3.837 c=8.061 alpha=90.00 beta=90.00 gamma=90.00
Fractional positions:
B1 0.000 0.957 0.333
B2 0.000 0.233 0.143
C1 0.000 0.986 0.680
B3 0.500 0.543 0.164
B4 0.500 0.543 0.503
C2 0.000 0.256 0.833
C3 0.500 0.761 0.333
C4 0.000 0.986 0.987
C5 0.500 0.495 0.833
C6 0.500 0.753 0.985
C7 0.500 0.753 0.681
B5 0.000 0.233 0.524


Question: Number 1 is which compound?
Answer: RbPbAu2